# 1
VASP calculation (GGA-PBE) on an optimized crystal structure of HoMg6Tl6.

Results
Uncorrected energy, eV/atom: -2.244
ΔE_f, eV per atom: -0.06
V, Å³/f.u.: 325.2

Cell lengths 6.1196, 9.7831, 10.8629 Å; angles 90.00, 90.00, 90.00 degrees
With the nearest neighbours (Å) after each atom.
Space group Immm (No. 71)
Asymmetric unit:
Ho 0.0000 0.0000 0.0000 [2 per cell]  8 Tl 3.32-3.63
Mg 0.0000 0.2519 0.5000 [4 per cell]  6 Tl 2.99-3.19, 4 Mg 3.12
Mg 0.2500 0.2500 0.2500 [8 per cell]  6 Tl 3.03-3.24, 4 Mg 3.06-3.12
Tl 0.0000 0.0000 0.3341 [4 per cell]  6 Mg 3.03-3.05
Tl 0.0000 0.3392 0.0000 [4 per cell]  1 Tl 3.15, 6 Mg 3.19-3.24, 1 Ho 3.32
Tl 0.0000 0.5000 0.3385 [4 per cell]  6 Mg 2.99-3.04



# 2
VASP calculation (GGA-PBE) on an optimized crystal structure of Ho4Mg5Tl.

Results
Uncorrected energy, eV/atom: -2.994
ΔE_f, eV per atom: -0.13
V, Å³/f.u.: 260.4

Cell lengths 15.7093, 5.2528, 6.5452 Å; angles 90.00, 105.32, 90.00 degrees
With the nearest neighbours (Å) after each atom.
Space group C2/m (No. 12)
Asymmetric unit:
Ho 0.0994 0.0000 0.3956 [4 per cell]  6 Mg 3.14-3.40, 2 Tl 3.22
Ho 0.1960 0.5000 0.8057 [4 per cell]  1 Tl 3.20, 7 Mg 3.21-3.33
Mg 0.0000 0.5000 0.0000 [2 per cell]  6 Mg 3.17-3.24, 2 Tl 3.27
Mg 0.0986 0.0000 0.9152 [4 per cell]  6 Ho 3.14-3.40, 2 Mg 3.17
Mg 0.2003 0.5000 0.2994 [4 per cell]  7 Ho 3.21-3.33, 1 Mg 3.24
Tl 0.0000 0.5000 0.5000 [2 per cell]  6 Ho 3.20-3.22, 2 Mg 3.27



# 3
VASP calculation (GGA-PBE) on an optimized crystal structure of HoMgTl2.

Results
Uncorrected energy, eV/atom: -2.817
ΔE_f, eV per atom: -0.09
V, Å³/f.u.: 107.3

Cell lengths 3.5090, 3.5090, 30.1858 Å; angles 90.00, 90.00, 120.00 degrees
With the nearest neighbours (Å) after each atom.
Space group R3m (No. 160, hexagonal axes)
Asymmetric unit:
Ho 0.0000 0.0000 0.0000 [3 per cell]  6 Tl 3.31-3.34, 6 Ho 3.51
Mg 0.0000 0.0000 0.8339 [3 per cell]  6 Tl 3.14, 6 Mg 3.51
Tl 0.0000 0.0000 0.4211 [3 per cell]  3 Mg 3.14, 3 Ho 3.34, 6 Tl 3.51
Tl 0.0000 0.0000 0.5798 [3 per cell]  3 Mg 3.14, 3 Ho 3.31, 6 Tl 3.51



# 4
VASP calculation (GGA-PBE) on an optimized crystal structure of HoMgTl2.

Results
Uncorrected energy, eV/atom: -2.972
ΔE_f, eV per atom: -0.25
V, Å³/f.u.: 100.8

Cell lengths 4.7579, 4.7579, 4.4523 Å; angles 90.00, 90.00, 90.00 degrees
With the nearest neighbours (Å) after each atom.
Space group P4/mmm (No. 123)
Asymmetric unit:
Ho 0.0000 0.0000 0.0000 [1 per cell]  8 Tl 3.26, 4 Mg 3.36
Mg 0.5000 0.5000 0.0000 [1 per cell]  8 Tl 3.26, 4 Ho 3.36
Tl 0.0000 0.5000 0.5000 [2 per cell]  4 Ho 3.26, 4 Mg 3.26, 4 Tl 3.36



Which value of V does entry 3 give? 107.3 Å³/f.u.



Repeat the third record exactly.
VASP calculation (GGA-PBE) on an optimized crystal structure of HoMgTl2.

Results
Uncorrected energy, eV/atom: -2.817
ΔE_f, eV per atom: -0.09
V, Å³/f.u.: 107.3

Cell lengths 3.5090, 3.5090, 30.1858 Å; angles 90.00, 90.00, 120.00 degrees
With the nearest neighbours (Å) after each atom.
Space group R3m (No. 160, hexagonal axes)
Asymmetric unit:
Ho 0.0000 0.0000 0.0000 [3 per cell]  6 Tl 3.31-3.34, 6 Ho 3.51
Mg 0.0000 0.0000 0.8339 [3 per cell]  6 Tl 3.14, 6 Mg 3.51
Tl 0.0000 0.0000 0.4211 [3 per cell]  3 Mg 3.14, 3 Ho 3.34, 6 Tl 3.51
Tl 0.0000 0.0000 0.5798 [3 per cell]  3 Mg 3.14, 3 Ho 3.31, 6 Tl 3.51